Compound: BeB4Ir
Source: OQMD via LeMat-Bulk
Functional: PBE
Structure: optimized geometry

Calculated values
The value obtained for the spin magnetization is 0.0 μB/cell.

Structure (CIF):
```
data_BeB4Ir
_space_group_name_H-M_alt 'P 1'
_space_group_IT_number 1
_space_group_name_Hall 'P 1'
_cell_length_a 2.936
_cell_length_b 5.165
_cell_length_c 6.494
_cell_angle_alpha 90.00
_cell_angle_beta 90.00
_cell_angle_gamma 90.00
loop_
_atom_site_label
_atom_site_fract_x
_atom_site_fract_y
_atom_site_fract_z
Be1 0.000 0.000 0.000
Be2 0.500 0.500 0.500
B1 0.000 0.335 0.267
B2 0.000 0.335 0.733
B3 0.000 0.665 0.267
B4 0.000 0.665 0.733
B5 0.500 0.165 0.233
B6 0.500 0.165 0.767
B7 0.500 0.835 0.233
B8 0.500 0.835 0.767
Ir1 0.000 0.000 0.500
Ir2 0.500 0.500 0.000
```

=====

Compound: BeSiBIr
Source: OQMD via LeMat-Bulk
Functional: PBE
Structure: optimized geometry

Calculated values
The value obtained for the spin magnetization is 0.0 μB/cell.

Structure (CIF):
```
data_BeSiBIr
_space_group_name_H-M_alt 'P 1'
_space_group_IT_number 1
_space_group_name_Hall 'P 1'
_cell_length_a 5.498
_cell_length_b 5.498
_cell_length_c 5.498
_cell_angle_alpha 90.00
_cell_angle_beta 90.00
_cell_angle_gamma 90.00
loop_
_atom_site_label
_atom_site_fract_x
_atom_site_fract_y
_atom_site_fract_z
Be1 0.000 0.000 0.000
Be2 0.000 0.500 0.500
Be3 0.500 0.000 0.500
Be4 0.500 0.500 0.000
Si1 0.250 0.250 0.250
Si2 0.250 0.750 0.750
Si3 0.750 0.250 0.750
Si4 0.750 0.750 0.250
B1 0.000 0.000 0.500
B2 0.000 0.500 0.000
B3 0.500 0.000 0.000
B4 0.500 0.500 0.500
Ir1 0.250 0.250 0.750
Ir2 0.250 0.750 0.250
Ir3 0.750 0.250 0.250
Ir4 0.750 0.750 0.750
```

=====

Compound: BeSiBIr
Source: OQMD via LeMat-Bulk
Functional: PBE
Structure: optimized geometry

Calculated values
The value obtained for the spin magnetization is 0.0 μB/cell.

Structure (CIF):
```
data_BeSiBIr
_space_group_name_H-M_alt 'P 1'
_space_group_IT_number 1
_space_group_name_Hall 'P 1'
_cell_length_a 5.597
_cell_length_b 5.597
_cell_length_c 5.597
_cell_angle_alpha 90.00
_cell_angle_beta 90.00
_cell_angle_gamma 90.00
loop_
_atom_site_label
_atom_site_fract_x
_atom_site_fract_y
_atom_site_fract_z
Be1 0.000 0.000 0.000
Be2 0.000 0.500 0.500
Be3 0.500 0.000 0.500
Be4 0.500 0.500 0.000
Si1 0.000 0.000 0.500
Si2 0.000 0.500 0.000
Si3 0.500 0.000 0.000
Si4 0.500 0.500 0.500
B1 0.250 0.250 0.250
B2 0.250 0.750 0.750
B3 0.750 0.250 0.750
B4 0.750 0.750 0.250
Ir1 0.250 0.250 0.750
Ir2 0.250 0.750 0.250
Ir3 0.750 0.250 0.250
Ir4 0.750 0.750 0.750
```

=====

Compound: BeSiBIr
Source: OQMD via LeMat-Bulk
Functional: PBE
Structure: optimized geometry

Calculated values
The value obtained for the spin magnetization is 0.0 μB/cell.

Structure (CIF):
```
data_BeSiBIr
_space_group_name_H-M_alt 'P 1'
_space_group_IT_number 1
_space_group_name_Hall 'P 1'
_cell_length_a 5.584
_cell_length_b 5.584
_cell_length_c 5.584
_cell_angle_alpha 90.00
_cell_angle_beta 90.00
_cell_angle_gamma 90.00
loop_
_atom_site_label
_atom_site_fract_x
_atom_site_fract_y
_atom_site_fract_z
Be1 0.000 0.000 0.000
Be2 0.000 0.500 0.500
Be3 0.500 0.000 0.500
Be4 0.500 0.500 0.000
Si1 0.250 0.250 0.250
Si2 0.250 0.750 0.750
Si3 0.750 0.250 0.750
Si4 0.750 0.750 0.250
B1 0.250 0.250 0.750
B2 0.250 0.750 0.250
B3 0.750 0.250 0.250
B4 0.750 0.750 0.750
Ir1 0.000 0.000 0.500
Ir2 0.000 0.500 0.000
Ir3 0.500 0.000 0.000
Ir4 0.500 0.500 0.500
```

=====

Compound: LaBeNiB
Source: OQMD via LeMat-Bulk
Functional: PBE
Structure: optimized geometry

Calculated values
The value obtained for the spin magnetization is 0.0 μB/cell.

Structure (CIF):
```
data_LaBeNiB
_space_group_name_H-M_alt 'P 1'
_space_group_IT_number 1
_space_group_name_Hall 'P 1'
_cell_length_a 6.176
_cell_length_b 6.176
_cell_length_c 6.176
_cell_angle_alpha 90.00
_cell_angle_beta 90.00
_cell_angle_gamma 90.00
loop_
_atom_site_label
_atom_site_fract_x
_atom_site_fract_y
_atom_site_fract_z
La1 0.000 0.000 0.000
La2 0.000 0.500 0.500
La3 0.500 0.000 0.500
La4 0.500 0.500 0.000
Be1 0.250 0.250 0.250
Be2 0.250 0.750 0.750
Be3 0.750 0.250 0.750
Be4 0.750 0.750 0.250
Ni1 0.000 0.000 0.500
Ni2 0.000 0.500 0.000
Ni3 0.500 0.000 0.000
Ni4 0.500 0.500 0.500
B1 0.250 0.250 0.750
B2 0.250 0.750 0.250
B3 0.750 0.250 0.250
B4 0.750 0.750 0.750
```

=====

Compound: LaBeNiB
Source: OQMD via LeMat-Bulk
Functional: PBE
Structure: optimized geometry

Calculated values
The value obtained for the spin magnetization is 0.0 μB/cell.

Structure (CIF):
```
data_LaBeNiB
_space_group_name_H-M_alt 'P 1'
_space_group_IT_number 1
_space_group_name_Hall 'P 1'
_cell_length_a 6.250
_cell_length_b 6.250
_cell_length_c 6.250
_cell_angle_alpha 90.00
_cell_angle_beta 90.00
_cell_angle_gamma 90.00
loop_
_atom_site_label
_atom_site_fract_x
_atom_site_fract_y
_atom_site_fract_z
La1 0.000 0.000 0.000
La2 0.000 0.500 0.500
La3 0.500 0.000 0.500
La4 0.500 0.500 0.000
Be1 0.000 0.000 0.500
Be2 0.000 0.500 0.000
Be3 0.500 0.000 0.000
Be4 0.500 0.500 0.500
Ni1 0.250 0.250 0.750
Ni2 0.250 0.750 0.250
Ni3 0.750 0.250 0.250
Ni4 0.750 0.750 0.750
B1 0.250 0.250 0.250
B2 0.250 0.750 0.750
B3 0.750 0.250 0.750
B4 0.750 0.750 0.250
```

=====

| no. | ΔE to the lowest computed polymorph (meV per atom) | E_tot (eV/atom) |
| --- | --- | --- |
| 1 | 0 | -6.327 |
| 2 | 37 | -5.789 |
| 3 | 145 | -5.681 |
| 4 | 0 | -5.826 |
| 5 | 0 | -4.807 |
| 6 | 56 | -4.751 |